# 1
An optimized crystal structure of Ca3MnS, computed with PBE.

```
Ca3MnS
1.0
5.403 0.000 0.000
0.000 5.403 0.000
0.000 0.000 5.403
Ca Mn S
3 1 1
Direct
0.000 0.500 0.000
0.000 0.000 0.500
0.500 0.000 0.000
0.500 0.500 0.500
0.000 0.000 0.000
```

***

# 2
An optimized crystal structure of Ca2MnS, computed with PBE.

```
Ca2MnS
1.0
-6.867 -0.709 3.835
1.420 -7.687 1.123
-1.026 -3.420 5.662
Ca Mn S
4 2 2
Direct
0.578 0.125 0.250
0.172 0.625 0.250
0.375 0.422 0.750
0.875 0.828 0.750
0.000 0.000 0.000
0.750 0.250 0.500
0.500 0.500 0.000
0.250 0.750 0.500
```

***

# 3
An optimized crystal structure of CaMnS2, computed with PBE.

```
CaMnS2
1.0
3.626 0.000 0.000
1.813 3.140 0.000
1.813 1.047 6.020
Ca Mn S
1 1 2
Direct
0.495 0.495 0.514
0.674 0.674 0.977
0.062 0.062 0.814
0.268 0.268 0.195
```

***

# 4
An optimized crystal structure of CaMnS3, computed with PBE.

```
CaMnS3
1.0
-0.220 -2.277 4.596
-0.675 -4.547 -2.285
5.084 -0.702 -0.104
Ca Mn S
1 1 3
Direct
0.000 0.000 0.000
0.500 0.500 0.500
0.000 0.500 0.000
0.000 0.000 0.500
0.500 0.000 0.000
```

***

# 5
An optimized crystal structure of CaMnS2, computed with PBE.

```
CaMnS2
1.0
6.624 0.003 0.002
5.491 3.705 0.002
5.491 1.681 3.302
Ca Mn S
1 1 2
Direct
0.000 0.000 0.000
0.500 0.500 0.500
0.242 0.242 0.242
0.758 0.758 0.758
```

***

# 6
An optimized crystal structure of Ca3MnS, computed with PBE.

```
Ca3MnS
1.0
5.280 0.000 0.000
0.000 5.280 0.000
0.000 0.000 5.280
Ca Mn S
3 1 1
Direct
0.000 0.500 0.000
0.000 0.000 0.500
0.500 0.000 0.000
0.000 0.000 0.000
0.500 0.500 0.500
```

***

# 7
An optimized crystal structure of CaMnS2, computed with PBE.

```
CaMnS2
1.0
5.614 0.000 0.000
0.000 5.614 0.000
2.807 2.807 5.542
Ca Mn S
2 2 4
Direct
0.500 0.500 0.000
0.250 0.750 0.500
0.000 0.000 0.000
0.750 0.250 0.500
0.710 0.125 0.250
0.040 0.625 0.250
0.375 0.290 0.750
0.875 0.960 0.750
```

***

# 8
An optimized crystal structure of CaMn4S8, computed with PBE.

```
CaMn4S8
1.0
7.716 -0.014 -0.009
4.804 6.038 -0.009
4.804 2.312 5.578
Ca Mn S
1 4 8
Direct
0.500 0.500 0.500
0.000 0.500 0.500
0.500 0.000 0.500
0.500 0.500 0.000
0.000 0.000 0.000
0.266 0.769 0.769
0.231 0.231 0.734
0.734 0.231 0.231
0.231 0.734 0.231
0.268 0.268 0.268
0.732 0.732 0.732
0.769 0.266 0.769
0.769 0.769 0.266
```

***

# 9
An optimized crystal structure of CaMnS3, computed with PBE.

```
CaMnS3
1.0
-0.122 -2.611 3.700
4.066 -1.694 -1.061
1.995 3.292 2.389
Ca Mn S
1 1 3
Direct
0.500 0.500 0.500
0.000 0.000 0.000
0.000 0.500 0.000
0.000 0.000 0.500
0.500 0.000 0.000
```

***

# 10
An optimized crystal structure of CaMnS2, computed with PBE.

```
CaMnS2
1.0
2.423 0.000 7.324
-1.212 2.099 7.324
-1.212 -2.099 7.324
Ca Mn S
1 1 2
Direct
0.500 0.500 0.500
0.000 0.000 0.000
0.900 0.900 0.900
0.100 0.100 0.100
```

***

# 11
An optimized crystal structure of CaMnSi2S6, computed with PBE.

```
CaMnSi2S6
1.0
-0.232 -6.449 1.247
2.210 -3.633 -7.529
7.964 -1.840 2.820
Ca Mn Si S
2 2 4 12
Direct
0.250 0.881 0.119
0.750 0.119 0.881
0.250 0.234 0.766
0.750 0.766 0.234
0.281 0.776 0.624
0.219 0.376 0.224
0.719 0.224 0.376
0.781 0.624 0.776
0.180 0.960 0.803
0.320 0.197 0.040
0.820 0.040 0.197
0.680 0.803 0.960
0.402 0.866 0.397
0.098 0.603 0.134
0.598 0.134 0.603
0.902 0.397 0.866
0.011 0.693 0.577
0.489 0.423 0.307
0.989 0.307 0.423
0.511 0.577 0.693
```

***

# 12
An optimized crystal structure of Ca2SmMnS4, computed with PBE.

```
Ca2SmMnS4
1.0
-1.536 -0.747 3.556
-5.812 -1.946 -2.919
4.203 -5.428 0.675
Ca Sm Mn S
2 1 1 4
Direct
0.500 0.000 0.500
0.000 0.500 0.500
0.500 0.500 0.000
0.000 0.000 0.000
0.500 0.234 0.234
0.500 0.766 0.766
0.000 0.244 0.753
0.000 0.756 0.247
```

***

# 13
An optimized crystal structure of SrCaMnS2, computed with PBE.

```
SrCaMnS2
1.0
-3.285 -2.501 3.536
1.311 -4.804 -2.179
4.857 -0.546 4.126
Sr Ca Mn S
1 1 1 2
Direct
0.000 0.000 0.000
0.000 0.000 0.500
0.500 0.500 0.500
0.000 0.500 0.000
0.500 0.000 0.000
```

***

# 14
An optimized crystal structure of CaTaMn2S, computed with PBE.

```
CaTaMn2S
1.0
-0.776 3.762 1.660
0.140 -1.664 3.837
4.755 0.887 0.212
Ca Mn S Ta
1 2 1 1
Direct
0.000 0.000 0.500
0.000 0.500 0.000
0.500 0.000 0.000
0.000 0.000 0.000
0.500 0.500 0.500
```

***

# 15
An optimized crystal structure of Ca3Tb3MnS8, computed with PBE.

```
Ca3Tb3MnS8
1.0
7.853 0.000 0.000
-3.927 6.801 -0.024
0.000 -4.511 6.558
Ca Tb Mn S
3 3 1 8
Direct
0.000 0.000 0.000
0.000 0.500 0.000
0.500 0.500 0.000
0.500 0.000 0.500
0.500 0.500 0.500
0.000 0.500 0.500
0.000 0.000 0.500
0.252 0.504 0.255
0.748 0.496 0.745
0.762 0.523 0.268
0.238 0.477 0.732
0.762 0.006 0.268
0.238 0.994 0.732
0.245 0.006 0.268
0.755 0.994 0.732
```

***

# 16
An optimized crystal structure of Ca2TbMnS4, computed with PBE.

```
Ca2TbMnS4
1.0
-2.839 -0.336 -2.682
-0.078 -6.683 0.920
-4.414 2.985 4.299
Ca Tb Mn S
2 1 1 4
Direct
0.500 0.000 0.500
0.000 0.500 0.500
0.500 0.500 0.000
0.000 0.000 0.000
0.500 0.236 0.232
0.500 0.764 0.768
0.000 0.248 0.757
0.000 0.752 0.243
```

***

# 17
An optimized crystal structure of Ca2TmMnS4, computed with PBE.

```
Ca2TmMnS4
1.0
-0.482 3.826 0.529
-5.675 -1.182 3.376
5.258 0.067 4.299
Ca Tm Mn S
2 1 1 4
Direct
0.500 0.000 0.500
0.000 0.500 0.500
0.500 0.500 0.000
0.000 0.000 0.000
0.500 0.239 0.230
0.500 0.761 0.770
0.000 0.252 0.762
0.000 0.748 0.238
```

***

# 18
An optimized crystal structure of Ca3Tm3MnS8, computed with PBE.

```
Ca3Tm3MnS8
1.0
-4.781 5.919 1.501
-1.597 -4.902 -5.793
-0.703 -2.462 7.468
Ca Tm Mn S
3 3 1 8
Direct
0.000 0.000 0.000
0.000 0.500 0.000
0.500 0.500 0.000
0.500 0.000 0.500
0.500 0.500 0.500
0.000 0.500 0.500
0.000 0.000 0.500
0.254 0.507 0.261
0.746 0.493 0.739
0.760 0.520 0.270
0.240 0.480 0.730
0.760 0.010 0.270
0.240 0.990 0.730
0.250 0.010 0.270
0.750 0.990 0.730
```

***

# 19
An optimized crystal structure of CaMnSb2, computed with PBE.

```
CaMnSb2
1.0
-1.538 -1.167 -3.397
2.978 0.594 -1.552
3.485 -6.888 0.788
Sb Ca Mn
2 1 1
Direct
0.000 0.906 0.974
0.000 0.594 0.526
0.500 0.250 0.250
0.500 0.750 0.750
```

***

# 20
An optimized crystal structure of Ca14MnSb11, computed with PBE.

```
Ca14MnSb11
1.0
6.751 -12.360 -8.073
-6.481 -9.508 11.450
-9.999 9.805 -8.209
Ca Mn Sb
56 4 44
Direct
0.746 0.527 0.867
0.246 0.379 0.219
0.777 0.496 0.367
0.277 0.910 0.281
0.004 0.723 0.633
0.504 0.871 0.281
0.973 0.754 0.133
0.473 0.340 0.219
0.160 0.027 0.781
0.660 0.879 0.133
0.629 0.996 0.719
0.129 0.410 0.633
0.590 0.223 0.719
0.090 0.371 0.367
0.121 0.254 0.781
0.621 0.840 0.867
0.895 0.999 0.148
0.395 0.246 0.896
0.249 0.645 0.648
0.749 0.101 0.604
0.855 0.251 0.352
0.355 0.004 0.604
0.501 0.605 0.852
0.001 0.149 0.896
0.351 0.499 0.104
0.851 0.746 0.852
0.496 0.145 0.396
0.996 0.601 0.352
0.399 0.751 0.396
0.899 0.504 0.648
0.254 0.105 0.104
0.754 0.649 0.148
0.981 0.375 0.106
0.481 0.375 0.606
0.625 0.731 0.606
0.125 0.519 0.894
0.769 0.875 0.394
0.269 0.875 0.894
0.625 0.231 0.106
0.125 0.019 0.394
0.123 0.602 0.160
0.623 0.464 0.521
0.852 0.873 0.660
0.352 0.693 0.979
0.627 0.648 0.340
0.127 0.786 0.979
0.898 0.377 0.840
0.398 0.557 0.521
0.943 0.102 0.479
0.443 0.964 0.840
0.714 0.373 0.021
0.214 0.193 0.340
0.807 0.148 0.021
0.307 0.286 0.660
0.036 0.877 0.479
0.536 0.057 0.160
0.500 0.500 0.000
0.000 0.000 0.000
0.750 0.250 0.500
0.250 0.750 0.500
0.885 0.885 0.270
0.385 0.115 0.000
0.135 0.635 0.770
0.635 0.865 0.500
0.865 0.365 0.230
0.365 0.135 0.500
0.615 0.615 0.730
0.115 0.385 0.000
0.174 0.817 0.366
0.674 0.308 0.357
0.067 0.924 0.866
0.567 0.701 0.143
0.576 0.433 0.134
0.076 0.942 0.143
0.683 0.326 0.634
0.183 0.549 0.357
0.951 0.317 0.643
0.451 0.808 0.634
0.558 0.424 0.857
0.058 0.201 0.134
0.799 0.933 0.857
0.299 0.442 0.866
0.192 0.826 0.643
0.692 0.049 0.366
0.958 0.604 0.906
0.458 0.552 0.355
0.854 0.708 0.406
0.354 0.948 0.145
0.792 0.646 0.594
0.292 0.698 0.145
0.896 0.542 0.094
0.396 0.302 0.355
0.198 0.104 0.645
0.698 0.052 0.094
0.802 0.208 0.855
0.302 0.448 0.594
0.552 0.146 0.855
0.052 0.198 0.406
0.948 0.042 0.645
0.448 0.802 0.906
0.750 0.750 0.000
0.250 0.250 0.000
0.000 0.500 0.500
0.500 0.000 0.500
```

***

Computed energy relative to the elements, uncorrected (eV/atom) in order:
-0.412, -0.311, -0.937, 0.296, -1.290, 0.275, -0.871, -0.785, -0.587, -0.983, -0.855, -1.666, 0.449, 0.693, -1.870, -1.679, -1.678, -1.868, -0.222, -0.977